Entry 1:
VASP calculation (PBE-GGA) on a relaxed structure of InSiPt5.

Lattice parameters (Å, degrees): 3.9979 3.9979 7.1419 90.00 90.00 90.00
Last column: nearest neighbours and their distance in Å.
Element x y z (fractional)
In: 0.5000 0.5000 0.0000  12 Pt 2.83-2.91
Pt: 0.0000 0.0000 0.0000  4 In 2.83, 8 Pt 2.91
Pt: 0.5000 0.0000 0.2968  2 Si 2.47
Pt: 0.0000 0.5000 0.2968  2 Si 2.47
Pt: 0.5000 0.0000 0.7032  2 Si 2.47
Pt: 0.0000 0.5000 0.7032  2 Si 2.47
Si: 0.0000 0.0000 0.5000  8 Pt 2.47

Properties
The mass density comes out at 16.3 g cm⁻³. As for the space group: P4/mmm, No. 123. As for the energy: -42.21 eV per formula unit.

=====

Entry 2:
VASP calculation (PBE-GGA) on a relaxed structure of SrInSiPt2.

Lattice parameters (Å, degrees): 4.4501 4.4501 10.5551 90.00 90.00 90.00
Last column: nearest neighbours and their distance in Å.
Element x y z (fractional)
In: 0.0000 0.0000 0.5000  4 Pt 2.84, 4 In 3.15
In: 0.5000 0.5000 0.5000  4 Pt 2.84, 4 In 3.15
Pt: 0.0000 0.0000 0.0000  4 Si 2.50
Pt: 0.5000 0.5000 0.0000  4 Si 2.50
Pt: 0.5000 0.0000 0.3323  1 Si 2.37
Pt: 0.0000 0.5000 0.6677  1 Si 2.37
Si: 0.5000 0.0000 0.1077  5 Pt 2.37-2.50
Si: 0.0000 0.5000 0.8923  5 Pt 2.37-2.50
Sr: 0.0000 0.5000 0.2357  8 Pt 3.31-3.34, 5 Si 3.42-3.62, 4 In 3.57
Sr: 0.5000 0.0000 0.7643  8 Pt 3.31-3.34, 5 Si 3.42-3.62, 4 In 3.57

Properties
The mass density comes out at 9.9 g cm⁻³. As for the space group: P4/nmm, No. 129. As for the energy: -26.24 eV per formula unit.